Entry from the Alexandria database: CeThSe3 after structural relaxation (GGA-PBE).

Output
Uncorrected formation energy = -7.6 eV/f.u.
ΔE to the lowest computed polymorph = 0.270 eV/atom
ρ = 6.03 g/cm3
D(E_F) = 18.78 states/eV per cell

CIF file:
```
data_CeThSe3
_chemical_formula_sum 'Ce2 Th2 Se6'
_cell_length_a 5.001
_cell_length_b 8.363
_cell_length_c 8.436
_cell_angle_alpha 95.03
_cell_angle_beta 90.00
_cell_angle_gamma 107.40
_space_group_name_H-M_alt 'P 1'
_space_group_IT_number 1
_space_group_name_Hall 'P 1'
loop_
_atom_site_label
_atom_site_type_symbol
_atom_site_fract_x
_atom_site_fract_y
_atom_site_fract_z
_atom_site_occupancy
Ce1 Ce 0.361 0.722 0.621 1
Ce2 Ce 0.639 0.278 0.379 1
Th1 Th 0.125 0.250 0.909 1
Th2 Th 0.875 0.750 0.091 1
Se1 Se 0.952 0.905 0.779 1
Se2 Se 0.048 0.095 0.221 1
Se3 Se 0.681 0.363 0.043 1
Se4 Se 0.319 0.637 0.957 1
Se5 Se 0.826 0.652 0.413 1
Se6 Se 0.174 0.348 0.587 1
```